i:
MgTlCd2 | GGA-PBEsol | optimized geometry

Unit cell a=4.385 b=4.385 c=5.629 alpha=112.92 beta=112.92 gamma=90.00
Sites, in units of the cell vectors:
Cd1 0.250 0.750 0.500
Tl1 0.000 0.000 0.000
Mg1 0.500 0.500 0.000
Cd2 0.750 0.250 0.500

Calculated values
Its crystal system is tetragonal. As for the space-group type: I4/mmm. The total moment comes out at 0.00 Bohr magnetons per cell.

---

ii:
MgTlCd2 | GGA-PBEsol | optimized geometry

Unit cell a=3.296 b=4.423 c=6.256 alpha=90.00 beta=90.00 gamma=90.00
Sites, in units of the cell vectors:
Cd1 0.000 0.000 0.264
Tl1 0.500 0.500 0.000
Mg1 0.500 0.500 0.500
Cd2 0.000 0.000 0.736

Calculated values
Its crystal system is orthorhombic. As for the space-group type: Pmmm. The total moment comes out at 0.00 Bohr magnetons per cell.

---

Of all the structures shown, which is most stable? i, and ii is the least stable.